Record 1
# BaCaZn2 GGA-PBE relaxed
# Energy above the most stable polymorph in this dataset ... 123 meV/atom
data_BaCaZn2
_space_group_name_H-M_alt 'P 4 m m'
_space_group_IT_number 99
_cell_length_a 3.7792
_cell_length_b 3.7792
_cell_length_c 8.6400
_cell_angle_alpha 90.00
_cell_angle_beta 90.00
_cell_angle_gamma 90.00
loop_
_space_group_symop_operation_xyz
'x,y,z'
'-y,x,z'
'-x,-y,z'
'y,-x,z'
'-x,y,z'
'y,x,z'
'x,-y,z'
'-y,-x,z'
loop_
_atom_site_label
_atom_site_fract_x
_atom_site_fract_y
_atom_site_fract_z
_atom_site_occupancy
Ba1 0.0000 0.0000 0.0000 1
Ca1 0.5000 0.5000 0.3985 1
Zn1 0.0000 0.0000 0.6037 1
Zn2 0.5000 0.5000 0.7498 1

Record 2
# Ba2CaZn2 GGA-PBE relaxed
# Energy above the most stable polymorph in this dataset ... 157 meV/atom
data_Ba2CaZn2
_space_group_name_H-M_alt 'I 4/m m m'
_space_group_IT_number 139
_space_group_name_Hall '-I 4 2'
_cell_length_a 4.1038
_cell_length_b 4.1038
_cell_length_c 23.7341
_cell_angle_alpha 90.00
_cell_angle_beta 90.00
_cell_angle_gamma 90.00
loop_
_atom_site_label
_atom_site_fract_x
_atom_site_fract_y
_atom_site_fract_z
_atom_site_occupancy
Ba1 0.0000 0.0000 0.1344 1
Ca1 0.0000 0.0000 0.5000 1
Zn1 0.0000 0.5000 0.2500 1

Number 1: energy relative to the elements -0.06 eV per atom. Number 2: energy relative to the elements 0.05 eV per atom.